Record 1
First-principles (GGA-PBE) data for an optimized crystal structure of NiSbPd2, as listed in the Alexandria database.

abc: 3.9779 4.8390 4.8390
angles: 48.52 65.73 65.73
Last column: nearest neighbours and their distance in Å.
Atoms (fractional coordinates):
Ni 0.5000 0.0000 0.0000  8 Pd 2.80, 4 Sb 2.81
Sb 0.0000 0.5000 0.5000  8 Pd 2.80, 4 Ni 2.81
Pd 0.2500 0.7500 0.7500  4 Sb 2.80, 4 Ni 2.80, 4 Pd 2.81
Pd 0.7500 0.2500 0.2500  4 Sb 2.80, 4 Ni 2.80, 4 Pd 2.81

Values from the calculation:
- Symmetry: I4/mmm
- Raw formation energy: -248 meV/atom
- E_tot: -21.3 eV/f.u.

Record 2
First-principles (GGA-PBE) data for an optimized crystal structure of AcAlIn2Pt4, as listed in the Alexandria database.

abc: 4.5428 4.5428 9.4948
angles: 76.16 76.16 60.00
Last column: nearest neighbours and their distance in Å.
Atoms (fractional coordinates):
Ac 0.0000 0.0000 0.0000  6 Pt 3.28, 6 In 3.64
Al 0.5000 0.5000 0.5000  8 Pt 2.59-2.73
In 0.7591 0.7591 0.7227  7 Pt 2.68-2.91
In 0.2409 0.2409 0.2773  7 Pt 2.68-2.91
Pt 0.4053 0.4053 0.7841  1 Al 2.59, 3 In 2.68
Pt 0.8612 0.8612 0.4164  3 Al 2.73, 4 In 2.80-2.91, 3 Pt 3.03
Pt 0.1388 0.1388 0.5836  3 Al 2.73, 4 In 2.80-2.91, 3 Pt 3.03
Pt 0.5947 0.5947 0.2159  1 Al 2.59, 3 In 2.68

Values from the calculation:
- Symmetry: R-3m
- ΔH_f (0 K): -801 meV/atom
- E_tot: -43.9 eV/f.u.

Record 3
First-principles (GGA-PBE) data for an optimized crystal structure of TlZn2Os, as listed in the Alexandria database.

abc: 2.8947 2.8947 8.6573
angles: 90.00 90.00 90.00
Last column: nearest neighbours and their distance in Å.
Atoms (fractional coordinates):
Os 0.0000 0.0000 0.4606  4 Zn 2.66, 4 Os 2.89
Tl 0.5000 0.5000 0.7246  4 Tl 2.89, 4 Os 3.07
Zn 0.0000 0.0000 0.0496  8 Zn 2.77-2.89
Zn 0.5000 0.5000 0.2652  4 Os 2.66, 8 Zn 2.77-2.89

Values from the calculation:
- Symmetry: P4mm
- ΔH_f (0 K): 576 meV/atom
- Offset from the most stable computed form: 206 meV/atom
- E_tot: -13.8 eV/f.u.

Record 4
First-principles (GGA-PBE) data for an optimized crystal structure of SmHCl, as listed in the Alexandria database.

abc: 3.3666 3.3666 5.3209
angles: 108.44 108.44 90.00
Last column: nearest neighbours and their distance in Å.
Atoms (fractional coordinates):
H 0.2826 0.2826 0.5652  4 Sm 2.49, 1 Cl 2.59
Sm 0.7072 0.7072 0.4145  4 H 2.49
Cl 0.0102 0.0102 0.0204  1 H 2.59, 1 Sm 2.88

Values from the calculation:
- Symmetry: I4mm
- E_tot: -13.1 eV/f.u.

Record 5
First-principles (GGA-PBE) data for an optimized crystal structure of NaSnHg, as listed in the Alexandria database.

abc: 3.2478 5.2211 5.2211
angles: 120.00 90.00 90.00
Last column: nearest neighbours and their distance in Å.
Atoms (fractional coordinates):
Na 0.6665 0.3333 0.6667  2 Na 3.25, 6 Hg 3.42, 6 Sn 3.42
Hg 0.1667 0.0000 0.0000  3 Sn 3.01, 2 Hg 3.25
Sn 0.1667 0.6667 0.3333  3 Hg 3.01, 2 Sn 3.25

Values from the calculation:
- Symmetry: P-6m2
- ΔH_f (0 K): -178 meV/atom
- Offset from the most stable computed form: 0 meV/atom
- E_tot: -6.2 eV/f.u.

Record 6
First-principles (GGA-PBE) data for an optimized crystal structure of Pu7Si2, as listed in the Alexandria database.

abc: 5.0340 5.0340 8.4809
angles: 85.24 94.76 128.31
Last column: nearest neighbours and their distance in Å.
Atoms (fractional coordinates):
Pu 0.3157 0.6843 0.1084  1 Pu 2.45
Pu 0.6843 0.3157 0.8916  1 Pu 2.45
Pu 0.3198 0.6802 0.3971  3 Pu 2.45-2.48
Pu 0.6802 0.3198 0.6029  3 Pu 2.45-2.48
Pu 0.9415 0.0585 0.3690  3 Pu 2.37-2.48
Pu 0.0585 0.9415 0.6310  3 Pu 2.37-2.48
Pu 0.0000 0.0000 0.0000  8 Pu 2.92-3.22, 4 Si 3.13
Si 0.3746 0.6254 0.7604  13 Pu 2.92-3.18
Si 0.6254 0.3746 0.2396  13 Pu 2.92-3.18

Values from the calculation:
- Symmetry: C2/m
- Raw formation energy: -210 meV/atom
- E_tot: -113.1 eV/f.u.

Record 7
First-principles (GGA-PBE) data for an optimized crystal structure of AgSn2H2, as listed in the Alexandria database.

abc: 7.4699 7.4699 3.5080
angles: 90.00 90.00 90.00
Last column: nearest neighbours and their distance in Å.
Atoms (fractional coordinates):
H 0.0952 0.5952 0.5000  2 Sn 1.96, 1 H 2.01
H 0.5952 0.9048 0.5000  2 Sn 1.96, 1 H 2.01
H 0.9048 0.4048 0.5000  2 Sn 1.96, 1 H 2.01
H 0.4048 0.0952 0.5000  2 Sn 1.96, 1 H 2.01
Sn 0.1780 0.6780 0.0000  2 H 1.96
Sn 0.6780 0.8220 0.0000  2 H 1.96
Sn 0.8220 0.3220 0.0000  2 H 1.96
Sn 0.3220 0.1780 0.0000  2 H 1.96
Ag 0.0000 0.0000 0.0000  4 Sn 2.75
Ag 0.5000 0.5000 0.0000  4 Sn 2.75

Values from the calculation:
- Symmetry: P4/mbm
- Offset from the most stable computed form: 0 meV/atom
- E_tot: -15.8 eV/f.u.

Record 8
First-principles (GGA-PBE) data for an optimized crystal structure of NaVZnCl6, as listed in the Alexandria database.

abc: 6.3192 6.3192 12.4522
angles: 90.00 90.00 120.00
Last column: nearest neighbours and their distance in Å.
Atoms (fractional coordinates):
Na 0.0000 0.0000 0.0000  6 Cl 2.89
Na 0.0000 0.0000 0.5000  6 Cl 2.89
V 0.3333 0.6667 0.2500  6 Cl 2.39
V 0.6667 0.3333 0.7500  6 Cl 2.39
Zn 0.6667 0.3333 0.2500  6 Cl 2.48
Zn 0.3333 0.6667 0.7500  6 Cl 2.48
Cl 0.6303 0.6415 0.1400  1 V 2.39, 1 Zn 2.48
Cl 0.0111 0.3697 0.1400  1 V 2.39, 1 Zn 2.48
Cl 0.3697 0.0111 0.6400  1 V 2.39, 1 Zn 2.48
Cl 0.9889 0.6303 0.8600  1 V 2.39, 1 Zn 2.48
Cl 0.3585 0.3697 0.3600  1 V 2.39, 1 Zn 2.48
Cl 0.0111 0.6415 0.3600  1 V 2.39, 1 Zn 2.48
Cl 0.6415 0.0111 0.8600  1 V 2.39, 1 Zn 2.48
Cl 0.6303 0.9889 0.3600  1 V 2.39, 1 Zn 2.48
Cl 0.9889 0.3585 0.6400  1 V 2.39, 1 Zn 2.48
Cl 0.3585 0.9889 0.1400  1 V 2.39, 1 Zn 2.48
Cl 0.6415 0.6303 0.6400  1 V 2.39, 1 Zn 2.48
Cl 0.3697 0.3585 0.8600  1 V 2.39, 1 Zn 2.48

Values from the calculation:
- Symmetry: P-31c
- Raw formation energy: -1294 meV/atom
- E_tot: -34.4 eV/f.u.

Record 9
First-principles (GGA-PBE) data for an optimized crystal structure of Ce5Tl4In2, as listed in the Alexandria database.

abc: 6.1534 6.1534 10.2747
angles: 64.66 64.66 72.28
Last column: nearest neighbours and their distance in Å.
Atoms (fractional coordinates):
Ce 0.7394 0.2744 0.7592  5 Tl 3.23-3.54, 3 In 3.31-3.46, 2 Ce 3.33-3.38
Ce 0.2606 0.7256 0.2408  5 Tl 3.23-3.54, 3 In 3.31-3.46, 2 Ce 3.33-3.38
Ce 0.0000 0.0000 0.5000  4 Ce 3.33, 4 Tl 3.48-3.61
Ce 0.2744 0.7394 0.7592  5 Tl 3.23-3.54, 3 In 3.31-3.46, 2 Ce 3.33-3.38
Ce 0.7256 0.2606 0.2408  5 Tl 3.23-3.54, 3 In 3.31-3.46, 2 Ce 3.33-3.38
Tl 0.3222 0.3222 0.5664  1 Tl 3.04, 1 In 3.04, 4 Ce 3.30-3.31
Tl 0.6778 0.6778 0.4336  1 Tl 3.04, 1 In 3.04, 4 Ce 3.30-3.31
Tl 0.6940 0.6940 0.8837  1 In 3.03, 4 Ce 3.23-3.30, 1 Tl 3.29
Tl 0.3060 0.3060 0.1163  1 In 3.03, 4 Ce 3.23-3.30, 1 Tl 3.29
In 0.1706 0.1706 0.9126  1 In 2.88, 2 Tl 3.03-3.04
In 0.8294 0.8294 0.0874  1 In 2.88, 2 Tl 3.03-3.04

Values from the calculation:
- Symmetry: C2/m
- ΔH_f (0 K): -189 meV/atom
- E_tot: -46.7 eV/f.u.

Record 10
First-principles (GGA-PBE) data for an optimized crystal structure of Mg2TlCr, as listed in the Alexandria database.

abc: 4.9244 4.9244 4.9244
angles: 60.00 60.00 60.00
Last column: nearest neighbours and their distance in Å.
Atoms (fractional coordinates):
Cr 0.0000 0.0000 0.0000  8 Mg 3.02
Tl 0.5000 0.5000 0.5000  8 Mg 3.02
Mg 0.2500 0.2500 0.2500  4 Cr 3.02, 4 Tl 3.02
Mg 0.7500 0.7500 0.7500  4 Cr 3.02, 4 Tl 3.02

Values from the calculation:
- Symmetry: Fm-3m
- ΔH_f (0 K): 278 meV/atom
- Offset from the most stable computed form: 39 meV/atom
- E_tot: -14.1 eV/f.u.

Record 11
First-principles (GGA-PBE) data for an optimized crystal structure of AlAgS2Cl, as listed in the Alexandria database.

abc: 4.6166 4.6166 4.8604
angles: 90.00 90.00 90.00
Last column: nearest neighbours and their distance in Å.
Atoms (fractional coordinates):
S 0.0000 0.5000 0.0000  2 Al 2.31
S 0.5000 0.0000 0.0000  2 Al 2.31
Al 0.0000 0.0000 0.0000  4 S 2.31, 2 Cl 2.43
Ag 0.5000 0.5000 0.5000  4 Cl 3.26, 8 S 3.35
Cl 0.0000 0.0000 0.5000  2 Al 2.43

Values from the calculation:
- Symmetry: P4/mmm
- Raw formation energy: -198 meV/atom
- Offset from the most stable computed form: 0 meV/atom
- E_tot: -17.7 eV/f.u.

Record 12
First-principles (GGA-PBE) data for an optimized crystal structure of YSiPb, as listed in the Alexandria database.

abc: 6.1157 6.1157 6.1157
angles: 145.37 145.37 49.79
Last column: nearest neighbours and their distance in Å.
Atoms (fractional coordinates):
Pb 0.9786 0.9786 0.0000  4 Si 3.03, 1 Y 3.24
Si 0.3344 0.3344 0.0000  4 Pb 3.03, 4 Y 3.05
Y 0.6869 0.6869 0.0000  4 Si 3.05, 1 Pb 3.24

Values from the calculation:
- Symmetry: I4mm
- Raw formation energy: -113 meV/atom
- Offset from the most stable computed form: 398 meV/atom
- E_tot: -15.9 eV/f.u.

Record 13
First-principles (GGA-PBE) data for an optimized crystal structure of ReOs, as listed in the Alexandria database.

abc: 7.6481 7.6481 7.6481
angles: 90.00 90.00 90.00
Last column: nearest neighbours and their distance in Å.
Atoms (fractional coordinates):
Re 0.1430 0.1430 0.1430  4 Os 2.41-2.45
Re 0.1430 0.8570 0.8570  4 Os 2.41-2.45
Re 0.8570 0.1430 0.8570  4 Os 2.41-2.45
Re 0.8570 0.8570 0.1430  4 Os 2.41-2.45
Re 0.6430 0.6430 0.6430  4 Os 2.41-2.45
Re 0.6430 0.3570 0.3570  4 Os 2.41-2.45
Re 0.3570 0.6430 0.3570  4 Os 2.41-2.45
Re 0.3570 0.3570 0.6430  4 Os 2.41-2.45
Os 0.3252 0.3252 0.3252  4 Re 2.41-2.45
Os 0.3252 0.6748 0.6748  4 Re 2.41-2.45
Os 0.6748 0.3252 0.6748  4 Re 2.41-2.45
Os 0.6748 0.6748 0.3252  4 Re 2.41-2.45
Os 0.8252 0.8252 0.8252  4 Re 2.41-2.45
Os 0.8252 0.1748 0.1748  4 Re 2.41-2.45
Os 0.1748 0.8252 0.1748  4 Re 2.41-2.45
Os 0.1748 0.1748 0.8252  4 Re 2.41-2.45

Values from the calculation:
- Symmetry: I-43m
- ΔH_f (0 K): 1837 meV/atom
- Offset from the most stable computed form: 1930 meV/atom
- E_tot: -20.0 eV/f.u.

Record 14
First-principles (GGA-PBE) data for an optimized crystal structure of La2Y2Sb2C, as listed in the Alexandria database.

abc: 4.8414 4.8414 8.9851
angles: 105.63 105.63 90.00
Last column: nearest neighbours and their distance in Å.
Atoms (fractional coordinates):
La 0.1627 0.1627 0.3254  1 C 2.70
La 0.8373 0.8373 0.6746  1 C 2.70
Y 0.0000 0.5000 0.0000  2 C 2.42
Y 0.5000 0.0000 0.0000  2 C 2.42
Sb 0.3656 0.3656 0.7312  4 Y 3.29, 5 La 3.37-3.46
Sb 0.6344 0.6344 0.2688  4 Y 3.29, 5 La 3.37-3.46
C 0.0000 0.0000 0.0000  4 Y 2.42, 2 La 2.70

Values from the calculation:
- Symmetry: I4/mmm
- Raw formation energy: -904 meV/atom
- E_tot: -46.6 eV/f.u.

Record 15
First-principles (GGA-PBE) data for an optimized crystal structure of ZrTa2As, as listed in the Alexandria database.

abc: 3.4687 3.4687 6.1540
angles: 90.00 90.00 90.00
Last column: nearest neighbours and their distance in Å.
Atoms (fractional coordinates):
As 0.5000 0.5000 0.7621  5 Ta 2.83-2.92, 4 Zr 2.91
Zr 0.0000 0.0000 0.5086  4 As 2.91, 6 Ta 2.97-3.17
Ta 0.0000 0.0000 0.9929  4 As 2.83, 4 Ta 2.87, 2 Zr 2.98-3.17
Ta 0.5000 0.5000 0.2364  4 Ta 2.87, 1 As 2.92, 4 Zr 2.97

Values from the calculation:
- Symmetry: P4mm
- ΔH_f (0 K): -299 meV/atom
- E_tot: -38.1 eV/f.u.

Record 16
First-principles (GGA-PBE) data for an optimized crystal structure of Li4CeAu8, as listed in the Alexandria database.

abc: 5.3360 7.0742 7.0742
angles: 81.82 67.84 67.84
Last column: nearest neighbours and their distance in Å.
Atoms (fractional coordinates):
Li 0.0000 0.0000 0.5000  2 Li 2.67, 8 Au 2.69-2.79
Li 0.5000 0.0000 0.5000  2 Li 2.67, 8 Au 2.69-2.79
Li 0.0000 0.5000 0.0000  2 Li 2.67, 8 Au 2.69-2.79
Li 0.5000 0.5000 0.0000  2 Li 2.67, 8 Au 2.69-2.79
Ce 0.0000 0.0000 0.0000  12 Au 3.12-3.37
Au 0.0000 0.3370 0.6630  4 Li 2.79, 5 Au 2.88-3.02, 1 Ce 3.12
Au 0.0000 0.6630 0.3370  4 Li 2.79, 5 Au 2.88-3.02, 1 Ce 3.12
Au 0.3370 0.6630 0.6630  4 Li 2.79, 5 Au 2.88-3.02, 1 Ce 3.12
Au 0.6630 0.3370 0.3370  4 Li 2.79, 5 Au 2.88-3.02, 1 Ce 3.12
Au 0.5000 0.7786 0.2214  4 Li 2.69, 6 Au 2.88-2.99
Au 0.5000 0.2214 0.7786  4 Li 2.69, 6 Au 2.88-2.99
Au 0.2786 0.2214 0.2214  4 Li 2.69, 6 Au 2.88-2.99
Au 0.7214 0.7786 0.7786  4 Li 2.69, 6 Au 2.88-2.99

Values from the calculation:
- Symmetry: I4/mmm
- ΔH_f (0 K): -495 meV/atom
- E_tot: -46.2 eV/f.u.

Record 17
First-principles (GGA-PBE) data for an optimized crystal structure of LaAlCl2, as listed in the Alexandria database.

abc: 3.6940 3.6940 9.6450
angles: 90.00 90.00 115.85
Last column: nearest neighbours and their distance in Å.
Atoms (fractional coordinates):
Cl 0.0000 0.0000 0.9203  2 Al 2.48
Cl 0.5000 0.5000 0.3036  2 La 2.82
Al 0.5000 0.5000 0.7629  2 Cl 2.48
La 0.0000 0.0000 0.5132  2 Cl 2.82, 2 Al 3.11

Values from the calculation:
- Symmetry: Cmm2
- Raw formation energy: -1018 meV/atom
- Offset from the most stable computed form: 147 meV/atom
- E_tot: -16.4 eV/f.u.